Below is a geometry-optimized HoEr3Ir structure, with properties calculated at the PBE level.

Lattice parameters (Å, degrees): 6.1140 6.4827 7.5474 90.01 90.00 89.99
Closest atoms and distances in Å follow each position.
Sites, in units of the cell vectors:
1 Ho 0.4288 0.3287 0.7009  1 Ir 2.74
2 Ho 0.9287 0.0240 0.2007  1 Ir 2.74
3 Er 0.4221 0.3296 0.2009  1 Ir 2.73
4 Er 0.4259 0.8645 0.9510  2 Ir 2.72
5 Er 0.9257 0.4883 0.4511  2 Ir 2.72
6 Er 0.9221 0.0232 0.7007  1 Ir 2.73
7 Er 0.9258 0.4883 0.9505  2 Ir 2.72
8 Er 0.4258 0.8645 0.4505  2 Ir 2.72
9 Ir 0.1756 0.6772 0.7008  5 Er 2.72-2.73, 1 Ho 2.74
10 Ir 0.6756 0.6756 0.2008  5 Er 2.72-2.73, 1 Ho 2.74

Properties
Space group: No. 31
DFT formation energy in kcal/mol of atoms: -8.19